VASP calculation (PBE) on KZnHg2 after structural relaxation.

The space group is C2/m (No. 12) and the conventional cell measures 8.563, 4.678 and 6.625 Å, with angles of 90.00, 114.03 and 90.00 degrees. The asymmetric unit holds K at (0.000, 0.000, 0.000), Zn at (0.000, 0.500, 0.500) and Hg at (0.205, 0.000, 0.620).

The value obtained for the spin magnetization is 0.000 μB per atom. As for the formation energy: -94.7 meV/atom. The electronic total energy is -6.71 eV for the cell shown.